A plane-wave DFT calculation with GGA-PBE was carried out for an optimized crystal structure of Na2UBeS5.

Cell lengths 3.8878, 16.7235, 13.2008 Å; angles 90.00, 90.00, 90.00 degrees
Closest atoms and distances in Å follow each position.
Space group Cmc2_1 (No. 36)
Unique sites:
Na (0.0000, 0.0807, 0.0000) x4  4 S 2.78-2.94
Na (0.0000, 0.0928, 0.6904) x4  4 S 2.78-2.98
U (0.0000, 0.2149, 0.3616) x4  6 S 2.44-2.63
Be (0.0000, 0.4186, 0.7496) x4  2 S 1.99-2.15
S (0.0000, 0.0643, 0.3399) x4  2 Be 2.30, 1 U 2.53
S (0.0000, 0.2898, 0.9897) x4  2 U 2.58
S (0.0000, 0.2914, 0.7272) x4  1 Be 2.15
S (0.0000, 0.3603, 0.3507) x4  1 U 2.44
S (0.0000, 0.4859, 0.6251) x4  1 Be 1.99

E in Ry per atom: -0.3902
Mass density in g cm⁻³: 3.5